# 1
DFT (GGA-PBEsol) results for RbMnP3HO10 after structural relaxation.

Properties
**N(E_F)**: 2.5 states/eV/cell
**Calculated total energy**: -7.297 eV/atom

Lattice parameters (Å, degrees): 12.3225 8.5190 8.8947 90.00 107.20 90.00
Space group C2 (No. 5)
Asymmetric unit:
Rb: 0.2374 0.0000 0.2693 x4
Mn: 0.0000 0.3345 0.0000 x2
Mn: 0.0000 0.8428 0.5000 x2
P: 0.0316 0.6223 0.2289 x4
P: 0.0721 0.1276 0.7344 x4
P: 0.2359 0.4355 0.2864 x4
H: 0.0000 0.2650 0.5000 x2
H: 0.0000 0.7585 0.0000 x2
O: 0.0080 0.9956 0.3475 x4
O: 0.0293 0.6800 0.6556 x4
O: 0.0397 0.4911 0.8712 x4
O: 0.0468 0.1720 0.8855 x4
O: 0.0647 0.7514 0.1314 x4
O: 0.0756 0.2632 0.6231 x4
O: 0.1495 0.5495 0.3399 x4
O: 0.1702 0.3244 0.1621 x4
O: 0.1858 0.8691 0.5647 x4
O: 0.1990 0.0560 0.7965 x4


# 2
DFT (GGA-PBEsol) results for Li3Ti3VO8 after structural relaxation.

Properties
**N(E_F)**: 13.4 states/eV/cell
**Calculated total energy**: -8.128 eV/atom
**Uncorrected formation energy**: -2.628 eV per atom

Lattice parameters (Å, degrees): 5.9354 5.7651 8.2744 90.00 92.37 90.00
Space group P2_1/m (No. 11)
Asymmetric unit:
Li: 0.0000 0.0000 0.0000 x2
Li: 0.2503 0.2500 0.2504 x2
Li: 0.5000 0.0000 0.5000 x2
Ti: 0.0000 0.0000 0.5000 x2
Ti: 0.2401 0.2500 0.7441 x2
Ti: 0.5000 0.0000 0.0000 x2
V: 0.2464 0.7500 0.7487 x2
O: 0.0134 0.5036 0.7463 x4
O: 0.2373 0.7500 0.5101 x2
O: 0.2454 0.2500 0.5020 x2
O: 0.2610 0.2500 0.9945 x2
O: 0.2647 0.7500 0.9895 x2
O: 0.4795 0.5027 0.7597 x4